[1]
SmSn3Pd2: optimized geometry, PBE.

a = 8.725 Å, b = 8.725 Å, c = 8.163 Å
α = 115.18°, β = 115.18°, γ = 29.29°
Sites, in units of the cell vectors:
Sm1 0.122 0.122 0.138
Sm2 0.878 0.878 0.862
Sn1 0.036 0.036 0.688
Sn2 0.324 0.324 0.110
Sn3 0.331 0.331 0.527
Sn4 0.669 0.669 0.473
Sn5 0.676 0.676 0.890
Sn6 0.964 0.964 0.312
Pd1 0.217 0.217 0.716
Pd2 0.497 0.497 0.828
Pd3 0.503 0.503 0.172
Pd4 0.783 0.783 0.284

Calculated values
**Calculated formation energy**: -58 kJ/mol of atoms
**Total moment**: 0.00 Bohr magnetons per cell
**DOS at the Fermi energy**: 0.468 states/eV per atom
**Calculated total energy**: -5.122 eV/atom
**Space-group type**: No. 12

=====

[2]
SmSn4Pd12: optimized geometry, PBE.

a = 7.719 Å, b = 7.719 Å, c = 7.719 Å
α = 109.47°, β = 109.47°, γ = 109.47°
Sites, in units of the cell vectors:
Sm1 0.000 0.000 0.000
Sn1 0.000 0.000 0.500
Sn2 0.000 0.500 0.000
Sn3 0.500 0.000 0.000
Sn4 0.500 0.500 0.500
Pd1 0.150 0.501 0.351
Pd2 0.150 0.799 0.649
Pd3 0.201 0.351 0.850
Pd4 0.351 0.150 0.501
Pd5 0.351 0.850 0.201
Pd6 0.499 0.649 0.850
Pd7 0.501 0.351 0.150
Pd8 0.649 0.150 0.799
Pd9 0.649 0.850 0.499
Pd10 0.799 0.649 0.150
Pd11 0.850 0.201 0.351
Pd12 0.850 0.499 0.649

Calculated values
**Calculated formation energy**: -13 kJ/mol of atoms
**Total moment**: 0.00 Bohr magnetons per cell
**DOS at the Fermi energy**: 0.272 states/eV per atom
**Calculated total energy**: -5.025 eV/atom
**Space-group type**: No. 204